[1]
First-principles (PBE-GGA) data for a relaxed Pr2Dy3Y4 crystal, as listed in Alexandria.

Values from the calculation:
- N(E_F) (states/eV/f.u.) = 14.5
- VASP energy (Ha/atom) = -0.198
- magnetization (μB per formula unit) = 0.0
- polymorph energy (0 for the lowest one) (meV per atom) = 0.0

Unit cell a=11.8305 b=3.5448 c=14.3806 alpha=90.00 beta=96.34 gamma=90.00
With the nearest neighbours (Å) after each atom.
Space group C2/m (No. 12)
Unique sites:
Pr (0.1366, 0.0000, 0.4314) [4 per cell]  4 Y 3.54-3.64, 4 Pr 3.54-3.61, 2 Dy 3.63
Dy (0.0000, 0.0000, 0.0000) [2 per cell]  6 Dy 3.54, 6 Y 3.55-3.59
Dy (0.0711, 0.5000, 0.2118) [4 per cell]  6 Y 3.53-3.61, 4 Dy 3.54, 2 Pr 3.63
Y (0.1456, 0.0000, 0.6804) [4 per cell]  3 Dy 3.53-3.61, 4 Pr 3.54-3.64, 4 Y 3.54-3.55
Y (0.2148, 0.5000, 0.8925) [4 per cell]  6 Y 3.54-3.58, 6 Dy 3.55-3.59

[2]
First-principles (PBE-GGA) data for a relaxed Pm12Tm3Ir5 crystal, as listed in Alexandria.

Values from the calculation:
- N(E_F) (states/eV/f.u.) = 24.6
- VASP energy (Ha/atom) = -0.205
- magnetization (μB per formula unit) = 0.0

Unit cell a=17.8567 b=17.8567 c=17.8567 alpha=90.00 beta=90.00 gamma=90.00
With the nearest neighbours (Å) after each atom.
Space group Ia-3d (No. 230)
Unique sites:
Pm (0.0369, 0.0592, 0.6419) [96 per cell]  2 Ir 2.71-2.82
Tm (0.0000, 0.2500, 0.1250) [24 per cell]  8 Pm 3.48-3.63
Ir (0.0000, 0.0000, 0.0000) [16 per cell]  6 Pm 2.82
Ir (0.0000, 0.2500, 0.3750) [24 per cell]  4 Pm 2.71

[3]
First-principles (PBE-GGA) data for a relaxed Pa2GaPt9 crystal, as listed in Alexandria.

Values from the calculation:
- N(E_F) (states/eV/f.u.) = 7.8
- VASP energy (Ha/atom) = -0.264
- magnetization (μB per formula unit) = 0.6

Unit cell a=4.1397 b=4.1397 c=12.1384 alpha=90.00 beta=90.00 gamma=90.00
With the nearest neighbours (Å) after each atom.
Space group P4/mmm (No. 123)
Unique sites:
Pa (0.0000, 0.0000, 0.1755) [2 per cell]  12 Pt 2.88-2.97
Ga (0.0000, 0.0000, 0.5000) [1 per cell]  12 Pt 2.83-2.93
Pt (0.0000, 0.5000, 0.0000) [2 per cell]  8 Pt 2.93-2.94, 4 Pa 2.97
Pt (0.0000, 0.5000, 0.3408) [4 per cell]  8 Pt 2.83-2.93, 2 Ga 2.83, 2 Pa 2.88
Pt (0.5000, 0.5000, 0.1719) [2 per cell]  8 Pt 2.91-2.94, 4 Pa 2.93
Pt (0.5000, 0.5000, 0.5000) [1 per cell]  8 Pt 2.83, 4 Ga 2.93

[4]
First-principles (PBE-GGA) data for a relaxed La4NiPt2 crystal, as listed in Alexandria.

Values from the calculation:
- N(E_F) (states/eV/f.u.) = 5.0
- VASP energy (Ha/atom) = -0.225
- magnetization (μB per formula unit) = 0.0

Unit cell a=14.5021 b=4.3947 c=7.3834 alpha=90.00 beta=120.13 gamma=90.00
With the nearest neighbours (Å) after each atom.
Space group C2/m (No. 12)
Unique sites:
La (0.1057, 0.0000, 0.2979) [4 per cell]  2 Ni 2.94, 3 Pt 2.95-3.11
La (0.1439, 0.5000, 0.7798) [4 per cell]  3 Pt 2.93-2.97, 1 Ni 3.23
Ni (0.0000, 0.5000, 0.0000) [2 per cell]  2 Pt 2.78, 4 La 2.94
Pt (0.2214, 0.5000, 0.2303) [4 per cell]  1 Ni 2.78, 6 La 2.93-3.11

[5]
First-principles (PBE-GGA) data for a relaxed BeReOs2 crystal, as listed in Alexandria.

Values from the calculation:
- N(E_F) (states/eV/f.u.) = 4.8
- VASP energy (Ha/atom) = -0.341
- magnetization (μB per formula unit) = 0.0

Unit cell a=3.8617 b=3.8617 c=3.6449 alpha=90.00 beta=90.00 gamma=90.00
With the nearest neighbours (Å) after each atom.
Space group P4/mmm (No. 123)
Unique sites:
Be (0.0000, 0.0000, 0.0000) [1 per cell]  8 Os 2.66, 4 Re 2.73
Re (0.5000, 0.5000, 0.0000) [1 per cell]  8 Os 2.66, 4 Be 2.73
Os (0.0000, 0.5000, 0.5000) [2 per cell]  4 Re 2.66, 4 Be 2.66, 4 Os 2.73

[6]
First-principles (PBE-GGA) data for a relaxed Ta3Fe2W crystal, as listed in Alexandria.

Values from the calculation:
- N(E_F) (states/eV/f.u.) = 4.9
- VASP energy (Ha/atom) = -0.405
- magnetization (μB per formula unit) = 1.5

Unit cell a=3.1527 b=3.1527 c=9.2895 alpha=90.00 beta=90.00 gamma=90.00
With the nearest neighbours (Å) after each atom.
Space group P4/mmm (No. 123)
Unique sites:
Ta (0.0000, 0.0000, 0.0000) [1 per cell]  8 Fe 2.67
Ta (0.0000, 0.0000, 0.3249) [2 per cell]  4 Fe 2.71, 4 W 2.76, 1 Ta 3.02
Fe (0.5000, 0.5000, 0.1585) [2 per cell]  8 Ta 2.67-2.71, 1 Fe 2.94
W (0.5000, 0.5000, 0.5000) [1 per cell]  8 Ta 2.76